VASP calculation (GGA-PBE) on NdEr2Al3 after structural relaxation.

Structure (CIF):
```
data_NdEr2Al3
_cell_length_a 5.9635
_cell_length_b 9.9837
_cell_length_c 7.7932
_cell_angle_alpha 129.83
_cell_angle_beta 112.50
_cell_angle_gamma 90.00
_symmetry_space_group_name_H-M 'P 1'
_symmetry_Int_Tables_number 1
loop_
_symmetry_equiv_pos_as_xyz
'x,y,z'
loop_
_atom_site_label
_atom_site_fract_x
_atom_site_fract_y
_atom_site_fract_z
_atom_site_occupancy
Nd1 0.5005 0.2500 0.5000 1
Nd2 0.4995 0.7500 0.5000 1
Er1 0.1661 0.9162 0.8325 1
Er2 0.1664 0.4162 0.8325 1
Er3 0.8336 0.5838 0.1675 1
Er4 0.8339 0.0838 0.1675 1
Al1 0.0000 0.7499 0.0000 1
Al2 0.0000 0.2501 0.0000 1
Al3 0.5000 0.7501 0.0000 1
Al4 0.0000 0.0000 0.5000 1
Al5 0.0000 0.5000 0.5000 1
Al6 0.5000 0.2499 0.0000 1
```

## Properties
**Calculated density**: 6.017 g/cm³
**Energy relative to the lowest polymorph listed for this composition**: 123 kJ/mol of formula units
**D(E_F)**: 11.689 states/eV/cell
**DFT formation energy**: -0.170 eV/atom
**Calculated volume**: 308.9 Å³ per cell